No. 1
# PBE Te2RhAu, relaxed
data_Te2RhAu
_space_group_name_H-M_alt 'P 1'
_space_group_IT_number 1
_space_group_name_Hall 'P 1'
_cell_length_a 4.957
_cell_length_b 4.957
_cell_length_c 4.957
_cell_angle_alpha 60.00
_cell_angle_beta 60.00
_cell_angle_gamma 60.00
loop_
_atom_site_label
_atom_site_fract_x
_atom_site_fract_y
_atom_site_fract_z
Te1 0.000 0.000 0.000
Te2 0.250 0.250 0.250
Rh1 0.750 0.750 0.750
Au1 0.500 0.500 0.500
# E_tot ... -15.1 eV per cell

No. 2
# PBE Te2RhAu, relaxed
data_Te2RhAu
_space_group_name_H-M_alt 'P 1'
_space_group_IT_number 1
_space_group_name_Hall 'P 1'
_cell_length_a 6.520
_cell_length_b 6.520
_cell_length_c 6.520
_cell_angle_alpha 146.78
_cell_angle_beta 140.91
_cell_angle_gamma 52.21
loop_
_atom_site_label
_atom_site_fract_x
_atom_site_fract_y
_atom_site_fract_z
Te1 0.162 0.162 0.000
Te2 0.838 0.838 0.000
Rh1 0.000 0.500 0.500
Au1 0.500 0.000 0.500
# E_tot ... -17.2 eV per cell

No. 3
# PBE Te2RhAu, relaxed
data_Te2RhAu
_space_group_name_H-M_alt 'P 1'
_space_group_IT_number 1
_space_group_name_Hall 'P 1'
_cell_length_a 4.909
_cell_length_b 4.909
_cell_length_c 4.909
_cell_angle_alpha 60.00
_cell_angle_beta 60.00
_cell_angle_gamma 60.00
loop_
_atom_site_label
_atom_site_fract_x
_atom_site_fract_y
_atom_site_fract_z
Te1 0.250 0.250 0.250
Te2 0.750 0.750 0.750
Rh1 0.000 0.000 0.000
Au1 0.500 0.500 0.500
# E_tot ... -16.2 eV per cell

No. 4
# PBE Te4RhAu, relaxed
data_Te4RhAu
_space_group_name_H-M_alt 'P 1'
_space_group_IT_number 1
_space_group_name_Hall 'P 1'
_cell_length_a 6.139
_cell_length_b 6.139
_cell_length_c 6.139
_cell_angle_alpha 60.00
_cell_angle_beta 60.00
_cell_angle_gamma 60.00
loop_
_atom_site_label
_atom_site_fract_x
_atom_site_fract_y
_atom_site_fract_z
Te1 0.125 0.125 0.125
Te2 0.125 0.125 0.625
Te3 0.125 0.625 0.125
Te4 0.625 0.125 0.125
Rh1 0.500 0.500 0.500
Au1 0.750 0.750 0.750
# E_tot ... -17.6 eV per cell

No. 5
# PBE Te2RhAu, relaxed
data_Te2RhAu
_space_group_name_H-M_alt 'P 1'
_space_group_IT_number 1
_space_group_name_Hall 'P 1'
_cell_length_a 5.708
_cell_length_b 5.708
_cell_length_c 5.708
_cell_angle_alpha 137.24
_cell_angle_beta 137.24
_cell_angle_gamma 62.07
loop_
_atom_site_label
_atom_site_fract_x
_atom_site_fract_y
_atom_site_fract_z
Te1 0.000 0.000 0.000
Te2 0.750 0.250 0.500
Rh1 0.500 0.500 0.000
Au1 0.250 0.750 0.500
# E_tot ... -15.8 eV per cell

No. 6
# PBE TeRhAu2, relaxed
data_TeRhAu2
_space_group_name_H-M_alt 'P 1'
_space_group_IT_number 1
_space_group_name_Hall 'P 1'
_cell_length_a 5.488
_cell_length_b 5.488
_cell_length_c 4.176
_cell_angle_alpha 99.37
_cell_angle_beta 99.37
_cell_angle_gamma 38.31
loop_
_atom_site_label
_atom_site_fract_x
_atom_site_fract_y
_atom_site_fract_z
Te1 0.000 0.000 0.000
Rh1 0.500 0.500 0.500
Au1 0.231 0.231 0.738
Au2 0.769 0.769 0.262
# E_tot ... -16.6 eV per cell

No. 7
# PBE Te2RhAu, relaxed
data_Te2RhAu
_space_group_name_H-M_alt 'P 1'
_space_group_IT_number 1
_space_group_name_Hall 'P 1'
_cell_length_a 7.013
_cell_length_b 7.013
_cell_length_c 7.013
_cell_angle_alpha 152.93
_cell_angle_beta 144.50
_cell_angle_gamma 45.21
loop_
_atom_site_label
_atom_site_fract_x
_atom_site_fract_y
_atom_site_fract_z
Te1 0.000 0.000 0.000
Te2 0.722 0.222 0.500
Rh1 0.558 0.558 0.000
Au1 0.346 0.846 0.500
# E_tot ... -16.7 eV per cell

No. 8
# PBE TeRhAu2, relaxed
data_TeRhAu2
_space_group_name_H-M_alt 'P 1'
_space_group_IT_number 1
_space_group_name_Hall 'P 1'
_cell_length_a 4.988
_cell_length_b 4.988
_cell_length_c 4.988
_cell_angle_alpha 128.16
_cell_angle_beta 128.16
_cell_angle_gamma 76.37
loop_
_atom_site_label
_atom_site_fract_x
_atom_site_fract_y
_atom_site_fract_z
Te1 0.000 0.000 0.000
Rh1 0.750 0.250 0.500
Au1 0.250 0.750 0.500
Au2 0.500 0.500 0.000
# E_tot ... -16.4 eV per cell

No. 9
# PBE Te2RhAu, relaxed
data_Te2RhAu
_space_group_name_H-M_alt 'P 1'
_space_group_IT_number 1
_space_group_name_Hall 'P 1'
_cell_length_a 4.794
_cell_length_b 3.922
_cell_length_c 5.521
_cell_angle_alpha 90.00
_cell_angle_beta 92.82
_cell_angle_gamma 90.00
loop_
_atom_site_label
_atom_site_fract_x
_atom_site_fract_y
_atom_site_fract_z
Te1 0.213 0.000 0.290
Te2 0.787 0.000 0.710
Rh1 0.500 0.500 0.500
Au1 0.500 0.500 0.000
# E_tot ... -17.0 eV per cell

No. 10
# PBE TeRhAu2, relaxed
data_TeRhAu2
_space_group_name_H-M_alt 'P 1'
_space_group_IT_number 1
_space_group_name_Hall 'P 1'
_cell_length_a 4.730
_cell_length_b 4.730
_cell_length_c 4.730
_cell_angle_alpha 60.00
_cell_angle_beta 60.00
_cell_angle_gamma 60.00
loop_
_atom_site_label
_atom_site_fract_x
_atom_site_fract_y
_atom_site_fract_z
Te1 0.000 0.000 0.000
Rh1 0.750 0.750 0.750
Au1 0.250 0.250 0.250
Au2 0.500 0.500 0.500
# E_tot ... -16.3 eV per cell

No. 11
# PBE TeRhAu2, relaxed
data_TeRhAu2
_space_group_name_H-M_alt 'P 1'
_space_group_IT_number 1
_space_group_name_Hall 'P 1'
_cell_length_a 10.241
_cell_length_b 10.241
_cell_length_c 10.241
_cell_angle_alpha 16.89
_cell_angle_beta 16.89
_cell_angle_gamma 16.89
loop_
_atom_site_label
_atom_site_fract_x
_atom_site_fract_y
_atom_site_fract_z
Te1 0.000 0.000 0.000
Rh1 0.500 0.500 0.500
Au1 0.240 0.240 0.240
Au2 0.760 0.760 0.760
# E_tot ... -15.5 eV per cell

No. 12
# PBE Te2RhAu, relaxed
data_Te2RhAu
_space_group_name_H-M_alt 'P 1'
_space_group_IT_number 1
_space_group_name_Hall 'P 1'
_cell_length_a 5.167
_cell_length_b 5.167
_cell_length_c 5.694
_cell_angle_alpha 100.36
_cell_angle_beta 100.36
_cell_angle_gamma 43.54
loop_
_atom_site_label
_atom_site_fract_x
_atom_site_fract_y
_atom_site_fract_z
Te1 0.000 0.000 0.000
Te2 0.194 0.194 0.606
Rh1 0.572 0.572 0.312
Au1 0.867 0.867 0.404
# E_tot ... -17.1 eV per cell